First-principles (PBEsol) data for a relaxed structure of MgTiCu2Tc, as listed in the Alexandria database.

* formation energy: 1.49 eV per atom
* calculated density: 6.173 g/cm3
* spin magnetization: 0.004 μB per atom

CIF file:
```
data_MgTiCu2Tc
_chemical_formula_sum 'Mg1 Ti1 Cu2 Tc1'
_symmetry_space_group_name_H-M 'P 4/m m m'
_symmetry_Int_Tables_number 123
_symmetry_space_group_name_Hall '-P 4 2'
_cell_length_a 4.133
_cell_length_b 4.133
_cell_length_c 4.682
_cell_angle_alpha 90.00
_cell_angle_beta 90.00
_cell_angle_gamma 90.00
loop_
_atom_site_label
_atom_site_fract_x
_atom_site_fract_y
_atom_site_fract_z
_atom_site_occupancy
Mg1 0.000 0.000 0.000 1
Ti1 0.000 0.000 0.500 1
Cu1 0.000 0.500 0.000 1
Tc1 0.500 0.500 0.500 1
```